1.
## YCrAuSe2 (PBE-GGA)

Data for a relaxed structure of YCrAuSe2.

The structure in POSCAR format:
```
YCrAuSe2
1.0
4.5717 0.0000 0.0000
0.0000 5.5818 0.0000
0.0000 0.0000 4.5717
Y Cr Au Se
1 1 1 2
direct
0.0000 0.5000 0.0000
0.0000 0.0000 0.0000
0.5000 0.5000 0.5000
0.0000 0.0000 0.5000
0.5000 0.0000 0.0000
```

Values from the calculation:
Its symmetry is No. 123. The total magnetization comes out at 0.0 Bohr magnetons per cell. The crystal system is tetragonal. For the volume, the calculation gives 23.332 Å³/atom. As for the formation energy without anion corrections: -0.07 eV per atom.


2.
## SrTaAg (PBE-GGA)

Data for a relaxed structure of SrTaAg.

The structure in POSCAR format:
```
SrTaAg
1.0
7.5031 -0.0184 -0.0021
2.1933 6.2960 0.0028
0.0025 0.9085 3.2632
Sr Ag Ta
2 2 2
direct
0.0019 0.6874 0.1205
0.5019 0.6873 0.1208
0.8491 0.3097 0.8093
0.1547 0.0649 0.4319
0.3628 0.2663 0.8310
0.6409 0.1084 0.4103
```

Values from the calculation:
For the energy above the most stable polymorph in this dataset, the calculation gives 0.226 eV per atom. Its symmetry is No. 12. The total magnetization comes out at 0.0 Bohr magnetons per cell. The crystal system is monoclinic. For the volume, the calculation gives 25.710 Å³/atom.


3.
## NiPdRhAu (PBE-GGA)

Data for a relaxed structure of NiPdRhAu.

The structure in POSCAR format:
```
NiPdRhAu
1.0
-0.6741 -4.1235 -1.3587
0.9776 -1.1400 -4.1290
3.4224 -2.6368 -0.7993
Rh Au Pd Ni
1 1 1 1
direct
0.5000 0.5000 0.5000
0.0000 0.0000 0.0000
0.7500 0.7500 0.7500
0.2500 0.2500 0.2500
```

Values from the calculation:
Its symmetry is No. 216. Its final energy is -5.19 eV/atom. The total magnetization comes out at 1.6 Bohr magnetons per cell. The crystal system is cubic. For the volume, the calculation gives 14.993 Å³/atom.